Record 1
VASP calculation (PBE) on a relaxed PbClF2 crystal.

Structure (extended XYZ):
```
8
Lattice="4.1780 -0.0003 0.0003 0.0007 6.3744 -3.4215 -0.0007 -3.8432 8.0660" Properties=species:S:1:pos:R:3 pbc="T T T"
F 3.2488 -1.9434 4.7254
Cl 1.1602 2.0605 -0.8130
Pb 3.2489 0.0920 3.2919
F 3.2493 1.9083 1.7352
F 1.1601 1.4111 3.1065
F 1.1599 -1.1114 3.5382
Pb 1.1605 3.2273 1.5502
Cl 3.2499 5.1023 -2.4111
```

## Properties
The value obtained for the volume is 20.0 Å³/atom. For the total energy, the calculation gives -15.7 eV/f.u. The calculation puts the uncorrected formation energy at -1596 meV/atom. As for the spin magnetization: 0.00 μB per atom. As for the crystal system: monoclinic. The value obtained for the energy above the lowest structure with this stoichiometry is 0.00 eV/f.u. As for the space group: P2_1/m (11).

***

Record 2
VASP calculation (PBE) on a relaxed NaZrTe2 crystal.

Structure (extended XYZ):
```
8
Lattice="-3.7023 3.0157 -5.2902 -2.8321 -6.3336 -1.6284 -8.0207 -0.5511 0.4989" Properties=species:S:1:pos:R:3 pbc="T T T"
Na -3.2672 -1.6590 -3.4593
Te -11.8375 -3.5501 -5.7396
Te -4.1015 -3.8305 -1.3593
Te -8.3615 -1.4240 -2.1602
Na -7.0600 -4.2718 -2.2944
Zr -7.4951 0.4028 -4.1253
Zr 0.0000 0.0000 0.0000
Te -4.8096 1.0665 -3.5802
```

## Properties
The value obtained for the volume is 39.9 Å³/atom. For the total energy, the calculation gives -18.6 eV/f.u. The calculation puts the uncorrected formation energy at -605 meV/atom. As for the spin magnetization: 0.25 μB per atom. As for the crystal system: tetragonal. As for the space group: I-42d (122).

***

Record 3
VASP calculation (PBE) on a relaxed SrCuAs2P crystal.

Structure (extended XYZ):
```
5
Lattice="-2.3035 2.4073 3.6011 0.8115 -3.5134 2.8677 4.2446 2.0680 1.3326" Properties=species:S:1:pos:R:3 pbc="T T T"
As 2.1223 1.0340 0.6663
Sr 1.3763 0.4810 3.9007
As -1.1517 1.2036 1.8006
P 0.4057 -1.7567 1.4338
Cu 0.0000 0.0000 0.0000
```

## Properties
The value obtained for the volume is 22.2 Å³/atom. For the total energy, the calculation gives -20.8 eV/f.u. The formation enthalpy at 0 K is -64 meV per atom. As for the spin magnetization: 0.00 μB per atom. As for the crystal system: tetragonal. As for the space group: P4/mmm (123).

***

Record 4
VASP calculation (PBE) on a relaxed LaDy2TiN4 crystal.

Structure (extended XYZ):
```
16
Lattice="-1.8311 0.4764 -2.8792 -0.8357 -5.9351 1.6108 -9.4515 3.1015 6.5242" Properties=species:S:1:pos:R:3 pbc="T T T"
Ti -9.1673 -1.2195 3.5672
N -7.6376 -0.5358 2.7075
N -3.5395 0.1642 0.2170
Dy -5.7199 0.1904 1.6080
Dy -6.3984 -2.5477 3.6478
N -4.7257 1.5507 3.2621
N -4.4807 -1.8215 2.5483
Dy -1.7441 -1.1142 -1.1364
N 0.0000 0.0000 0.0000
N -10.0349 0.2509 4.3623
Ti -2.9510 -1.1377 1.6885
N -8.5788 -2.5214 5.0388
La -4.6976 -3.6031 0.3302
Dy -10.3742 -1.2430 6.3922
N -2.0834 -2.6081 0.8935
La -7.4207 1.2459 4.9256
```

## Properties
The value obtained for the volume is 15.3 Å³/atom. For the total energy, the calculation gives -67.3 eV/f.u. The calculation puts the uncorrected formation energy at -1497 meV/atom. As for the spin magnetization: 0.00 μB per atom. As for the crystal system: orthorhombic. As for the space group: Cmcm (63).

***

Record 5
VASP calculation (PBE) on a relaxed SrAl6S8 crystal.

Structure (extended XYZ):
```
15
Lattice="6.7209 -0.1033 -0.1067 -0.3128 6.7144 -0.1067 -0.3128 -0.3228 6.7075" Properties=species:S:1:pos:R:3 pbc="T T T"
Al 3.9179 1.4497 2.2158
S 1.0358 3.7325 5.9532
Al 2.0447 3.9836 1.5202
Al 4.7684 4.2012 2.4637
S 1.6409 1.6929 1.7483
Al 1.3268 2.0871 4.0304
S 2.3969 0.3753 5.1514
S 0.3004 5.0712 2.5720
S 5.0594 2.5559 0.5409
Al 2.1773 4.8387 4.2784
Sr 0.0000 0.0000 0.0000
S 3.6983 5.9131 1.3427
Al 4.0505 2.3048 4.9739
S 5.7948 1.2171 3.9222
S 4.4543 4.5955 4.7459
```

## Properties
The value obtained for the volume is 20.1 Å³/atom. For the total energy, the calculation gives -70.2 eV/f.u. The calculation puts the uncorrected formation energy at -869 meV/atom. As for the spin magnetization: 0.09 μB per atom. As for the crystal system: trigonal. As for the space group: R-3 (148).

***

Record 6
VASP calculation (PBE) on a relaxed CoSnBi crystal.

Structure (extended XYZ):
```
12
Lattice="-3.2219 -0.6681 2.0443 -1.2058 -4.0350 -3.2191 6.4722 -7.9889 7.5894" Properties=species:S:1:pos:R:3 pbc="T T T"
Co -1.1495 -7.5466 1.2271
Sn 1.4301 -9.1337 4.7741
Co 3.2741 -7.5667 8.1925
Bi 3.2283 -10.2535 7.2422
Bi 0.0024 -6.2251 3.4744
Bi 2.6451 -4.4494 4.5497
Sn 0.0116 -5.5758 0.0309
Sn 3.9631 -7.1761 5.7358
Bi -1.7867 -4.4561 -2.4371
Co -0.6267 -3.1078 -0.1683
Co 2.5913 -7.1629 3.5779
Sn -1.3157 -3.4985 2.2884
```

## Properties
The value obtained for the volume is 21.9 Å³/atom. For the total energy, the calculation gives -14.8 eV/f.u. The formation enthalpy at 0 K is 75 meV per atom. As for the spin magnetization: 0.00 μB per atom. As for the crystal system: orthorhombic. As for the space group: Pnma (62).

***

Record 7
VASP calculation (PBE) on a relaxed RbCuRuCl6 crystal.

Structure (extended XYZ):
```
9
Lattice="-5.4346 2.5020 2.1320 -3.8327 -3.4344 3.7223 3.5208 2.5524 5.9800" Properties=species:S:1:pos:R:3 pbc="T T T"
Cl -6.1394 -0.9611 6.9503
Cl -5.6564 2.0027 5.4008
Rb -1.9136 5.0543 8.1119
Cl -3.4068 -0.7167 8.5287
Cu -1.3286 0.9653 4.9414
Cl -2.5229 2.0626 6.8220
Cl -3.3587 -0.4564 5.0977
Cl -5.4218 1.9959 8.5572
Ru -4.4177 0.6545 6.8928
```

## Properties
The value obtained for the volume is 28.7 Å³/atom. For the total energy, the calculation gives -33.0 eV/f.u. The calculation puts the uncorrected formation energy at -839 meV/atom. As for the spin magnetization: 0.22 μB per atom. As for the crystal system: trigonal. As for the space group: P312 (149).

***

Record 8
VASP calculation (PBE) on a relaxed Si2PIr crystal.

Structure (extended XYZ):
```
4
Lattice="-2.7663 -0.7719 -0.8976 -1.0078 -1.4071 4.3158 -1.8200 3.3084 2.7639" Properties=species:S:1:pos:R:3 pbc="T T T"
P -3.5040 1.0400 4.8609
Si -1.4099 0.9477 3.5302
Ir -2.0901 0.0894 1.3211
Si -0.0039 0.0029 0.0096
```

## Properties
The value obtained for the volume is 14.9 Å³/atom. For the total energy, the calculation gives -25.0 eV/f.u. The calculation puts the uncorrected formation energy at 37 meV/atom. As for the spin magnetization: 0.00 μB per atom. As for the crystal system: monoclinic. The value obtained for the energy above the lowest structure with this stoichiometry is 1.18 eV/f.u. As for the space group: P2/m (10).

***

Record 9
VASP calculation (PBE) on a relaxed La4Ni2Hg crystal.

Structure (extended XYZ):
```
14
Lattice="-5.1415 -2.3694 -4.4578 0.2059 -4.8497 5.3257 -2.7476 7.6478 3.4404" Properties=species:S:1:pos:R:3 pbc="T T T"
Hg -7.6767 0.4380 4.3069
La -2.5998 -1.6097 1.5698
Ni -3.3586 -1.8098 -1.2737
Ni -3.0419 4.1188 5.3572
Hg -2.4958 -0.3961 4.6003
La -5.7553 3.0412 0.0253
La -5.9226 -0.2489 1.7076
La -6.1268 -0.5585 -1.9937
La -2.9649 1.0206 -0.8985
La -3.4482 4.4308 2.4524
Ni -3.9441 1.6478 1.8905
Ni -4.9255 -2.9493 2.6261
La -4.7086 -3.9997 -0.3086
La -4.6660 1.9502 4.9128
```

## Properties
The value obtained for the volume is 27.4 Å³/atom. For the total energy, the calculation gives -33.6 eV/f.u. The formation enthalpy at 0 K is -286 meV per atom. As for the spin magnetization: 0.00 μB per atom. As for the crystal system: orthorhombic. As for the space group: Fdd2 (43).

***

Record 10
VASP calculation (PBE) on a relaxed K2BeNi crystal.

Structure (extended XYZ):
```
4
Lattice="3.8629 0.0117 0.0201 1.9248 3.3493 0.0201 1.8611 1.0807 9.2953" Properties=species:S:1:pos:R:3 pbc="T T T"
K 1.8688 1.0852 8.2668
Ni 3.8165 2.2162 5.8280
Be 5.7453 3.3363 5.8413
K 1.9036 1.1054 3.3625
```

## Properties
The value obtained for the volume is 30.0 Å³/atom. For the total energy, the calculation gives -10.0 eV/f.u. The formation enthalpy at 0 K is 419 meV per atom. As for the spin magnetization: 0.00 μB per atom. As for the crystal system: monoclinic. As for the space group: Cm (8).

***

Record 11
VASP calculation (PBE) on a relaxed Ce2SeNF2 crystal.

Structure (extended XYZ):
```
12
Lattice="-0.7265 -1.0097 3.6427 1.6268 -6.6213 -1.5109 7.8108 1.4706 1.9654" Properties=species:S:1:pos:R:3 pbc="T T T"
F 8.2341 -3.9658 0.5430
F 1.3539 -1.7973 -0.2282
Se 3.8679 0.4448 0.8947
Ce 6.7427 -0.6242 1.1718
F 0.9441 -0.2987 2.1392
N 2.1580 -4.2450 1.2875
Ce 6.4680 -4.9057 1.9639
Se 4.8894 -2.8266 0.1917
Ce 2.4738 -2.1939 1.9190
Ce 2.7708 -4.8358 -0.7878
N 6.0924 -0.0405 3.2376
F 6.9723 -2.6276 2.6960
```

## Properties
The value obtained for the volume is 18.3 Å³/atom. For the total energy, the calculation gives -43.0 eV/f.u. The calculation puts the uncorrected formation energy at -2589 meV/atom. As for the spin magnetization: 0.18 μB per atom. As for the crystal system: orthorhombic. As for the space group: Pmc2_1 (26).

***

Record 12
VASP calculation (PBE) on a relaxed Er2AlB2Os5 crystal.

Structure (extended XYZ):
```
20
Lattice="-2.2605 0.6998 1.9778 -6.3842 -0.2862 -7.1955 -1.4492 -9.3683 1.6584" Properties=species:S:1:pos:R:3 pbc="T T T"
Os -7.4065 -1.9568 -5.3683
Os -6.3407 -3.9182 -3.4561
Os -1.8548 -4.3342 1.8181
B -1.6946 -5.8797 0.1436
Os -5.7859 -6.5358 -1.8959
Er -4.5874 -1.8628 -4.5840
Os -4.3080 -2.4188 -1.6634
Os -2.6874 -6.9978 1.8090
B -5.2524 -8.3867 -3.0357
Er -3.2460 -7.7917 -0.9530
Os -2.6162 -0.3338 -0.4676
Os -4.3223 0.2068 -2.6089
Er -1.6037 -3.0664 -0.7479
Os -3.7532 -5.0364 -0.1031
B -2.5810 -1.2678 -2.5013
B -6.1388 -3.7748 -5.6806
Os -7.4777 -8.6209 -3.0917
Al -3.9167 -4.8272 -2.7685
Al 0.0000 0.0000 0.0000
Er -6.2298 -6.5881 -4.7892
```

## Properties
The value obtained for the volume is 14.3 Å³/atom. For the total energy, the calculation gives -85.7 eV/f.u. The formation enthalpy at 0 K is -336 meV per atom. As for the spin magnetization: 0.00 μB per atom. As for the crystal system: tetragonal. As for the space group: P4/mbm (127).

***

Record 13
VASP calculation (PBE) on a relaxed Ho3Cd2Hg8 crystal.

Structure (extended XYZ):
```
13
Lattice="-0.1405 -1.7777 5.7710 -2.0599 -5.4985 1.4171 9.3532 -6.4613 1.3984" Properties=species:S:1:pos:R:3 pbc="T T T"
Cd 7.5963 -8.4772 3.8957
Ho 3.5411 -9.5735 6.6203
Hg 1.4797 -7.3878 5.6611
Ho 0.0000 0.0000 0.0000
Hg 0.8079 -3.0422 2.2436
Hg 1.5499 -6.4999 2.7788
Hg 5.6029 -7.2377 5.8078
Hg 6.3449 -10.6954 6.3430
Hg 5.6731 -6.3498 2.9254
Ho 3.6118 -4.1640 1.9663
Hg 4.6443 -9.0960 3.6332
Hg 2.5086 -4.6416 4.9534
Cd -0.4434 -5.2603 4.6909
```

## Properties
The value obtained for the volume is 26.5 Å³/atom. For the total energy, the calculation gives -19.0 eV/f.u. The formation enthalpy at 0 K is -76 meV per atom. As for the spin magnetization: 0.00 μB per atom. As for the crystal system: trigonal. As for the space group: R-3m (166).

***

Record 14
VASP calculation (PBE) on a relaxed SeNF crystal.

Structure (extended XYZ):
```
6
Lattice="7.7827 0.7337 0.0264 0.8202 4.5019 -0.5548 3.1759 -0.2628 3.3251" Properties=species:S:1:pos:R:3 pbc="T T T"
Se 5.8851 1.4154 1.0870
Se 8.8510 0.7998 1.3971
N 9.8697 0.8433 2.8363
F 1.6867 2.7126 0.6043
F 5.8522 3.2817 1.0093
N 7.2662 1.1629 2.1591
```

## Properties
The value obtained for the volume is 18.6 Å³/atom. For the total energy, the calculation gives -14.2 eV/f.u. The calculation puts the uncorrected formation energy at -168 meV/atom. As for the spin magnetization: 0.00 μB per atom. As for the crystal system: triclinic. The value obtained for the energy above the lowest structure with this stoichiometry is 0.99 eV/f.u. As for the space group: P1 (1).

***

Record 15
VASP calculation (PBE) on a relaxed Li2Cd2Mo crystal.

Structure (extended XYZ):
```
10
Lattice="7.7158 0.0000 0.0000 0.0000 7.7158 0.0000 0.0000 0.0000 2.7561" Properties=species:S:1:pos:R:3 pbc="T T T"
Cd 1.3754 5.2333 1.3780
Cd 6.3404 2.4825 1.3780
Li 2.9176 6.7755 0.0000
Mo 3.8579 3.8579 0.0000
Cd 5.2333 6.3404 1.3780
Li 4.7982 0.9403 0.0000
Mo 0.0000 0.0000 0.0000
Li 0.9403 2.9176 0.0000
Cd 2.4825 1.3754 1.3780
Li 6.7755 4.7982 0.0000
```

## Properties
The value obtained for the volume is 16.4 Å³/atom. For the total energy, the calculation gives -15.3 eV/f.u. The formation enthalpy at 0 K is 233 meV per atom. As for the spin magnetization: 0.08 μB per atom. As for the crystal system: tetragonal. As for the space group: P4/mbm (127).

***

Record 16
VASP calculation (PBE) on a relaxed Mg6Cu2Ag crystal.

Structure (extended XYZ):
```
18
Lattice="7.1248 0.2035 -2.8283 -4.1857 6.2257 -1.5888 0.1432 -0.2035 7.6643" Properties=species:S:1:pos:R:3 pbc="T T T"
Mg 2.2709 4.2315 -0.1953
Mg 3.5085 3.4507 2.6066
Cu 1.0005 2.1885 -1.5036
Ag -2.0213 3.0111 3.0378
Mg 3.6361 2.1977 -2.2471
Mg -0.4262 2.7750 0.6406
Mg 0.4800 5.0259 2.7049
Mg -0.5539 4.0280 5.4943
Mg -2.6804 5.0259 0.6021
Cu 3.1167 0.7705 3.1953
Cu 1.9386 4.2406 -2.9135
Mg -2.4524 5.7933 3.6856
Mg 0.8114 1.9942 3.4425
Cu -0.0345 5.4551 0.0518
Mg 5.5346 0.4324 -0.4384
Mg 2.6023 1.1998 0.5423
Ag 0.0000 0.0000 0.0000
Mg 5.7626 1.1998 2.6451
```

## Properties
The value obtained for the volume is 19.1 Å³/atom. For the total energy, the calculation gives -21.7 eV/f.u. The formation enthalpy at 0 K is -116 meV per atom. As for the spin magnetization: 0.00 μB per atom. As for the crystal system: orthorhombic. As for the space group: Immm (71).

***

Record 17
VASP calculation (PBE) on a relaxed MgMo3Au crystal.

Structure (extended XYZ):
```
5
Lattice="-1.7405 1.2348 4.0125 -2.9207 -3.4763 -0.1971 3.0157 -2.6541 2.1249" Properties=species:S:1:pos:R:3 pbc="T T T"
Mo -1.4604 -1.7381 -0.0985
Mg 0.0000 0.0000 0.0000
Au -0.8228 -2.4478 2.9702
Mo -0.8702 0.6174 2.0062
Mo 1.5078 -1.3271 1.0625
```

## Properties
The value obtained for the volume is 18.8 Å³/atom. For the total energy, the calculation gives -27.2 eV/f.u. The formation enthalpy at 0 K is 2035 meV per atom. As for the spin magnetization: 0.00 μB per atom. As for the crystal system: cubic. The value obtained for the energy above the lowest structure with this stoichiometry is 0.00 eV/f.u. As for the space group: Pm-3m (221).

***

Record 18
VASP calculation (PBE) on a relaxed NaRh3Cl crystal.

Structure (extended XYZ):
```
5
Lattice="4.7365 0.0000 0.0000 0.0000 4.7365 0.0000 0.0000 0.0000 4.7365" Properties=species:S:1:pos:R:3 pbc="T T T"
Rh 0.0000 0.0000 2.3683
Cl 2.3683 2.3683 2.3683
Rh 2.3683 0.0000 0.0000
Na 0.0000 0.0000 0.0000
Rh 0.0000 2.3683 0.0000
```

## Properties
The value obtained for the volume is 21.3 Å³/atom. For the total energy, the calculation gives -16.0 eV/f.u. The calculation puts the uncorrected formation energy at 1836 meV/atom. As for the spin magnetization: 0.82 μB per atom. As for the crystal system: cubic. The value obtained for the energy above the lowest structure with this stoichiometry is 6.22 eV/f.u. As for the space group: Pm-3m (221).

***

Record 19
VASP calculation (PBE) on a relaxed LaCo2Hg crystal.

Structure (extended XYZ):
```
4
Lattice="4.1690 0.0000 0.0000 0.0000 3.9091 -0.0056 0.0000 0.0047 5.4338" Properties=species:S:1:pos:R:3 pbc="T T T"
Hg 2.0845 0.9784 1.3571
Co 0.0000 0.9812 2.9735
La 2.0845 2.9353 4.0712
Co 0.0000 0.9804 5.1745
```

## Properties
The value obtained for the volume is 22.1 Å³/atom. For the total energy, the calculation gives -18.7 eV/f.u. The formation enthalpy at 0 K is 196 meV per atom. As for the spin magnetization: 0.48 μB per atom. As for the crystal system: orthorhombic. As for the space group: Pmmm (47).